1.
# PmTiH3 PBE-GGA relaxed
data_PmTiH3
_chemical_formula_sum 'Pm1 Ti1 H3'
_cell_length_a 3.799
_cell_length_b 3.799
_cell_length_c 3.799
_cell_angle_alpha 90.00
_cell_angle_beta 90.00
_cell_angle_gamma 90.00
_symmetry_space_group_name_H-M 'P m -3 m'
_symmetry_Int_Tables_number 221
_symmetry_space_group_name_Hall '-P 4 2 3'
loop_
_atom_site_label
_atom_site_type_symbol
_atom_site_fract_x
_atom_site_fract_y
_atom_site_fract_z
Pm1 Pm 0.000 0.000 0.000
Ti1 Ti 0.500 0.500 0.500
H1 H 0.000 0.500 0.500
# Energy (eV per atom): -4.893



2.
# Pm3Ti5H12 PBE-GGA relaxed
data_Pm3Ti5H12
_chemical_formula_sum 'Pm24 Ti40 H96'
_cell_length_a 12.029
_cell_length_b 12.029
_cell_length_c 12.029
_cell_angle_alpha 90.00
_cell_angle_beta 90.00
_cell_angle_gamma 90.00
_symmetry_space_group_name_H-M 'I a -3 d'
_symmetry_Int_Tables_number 230
_symmetry_space_group_name_Hall '-I 4bd 2c 3'
loop_
_atom_site_label
_atom_site_type_symbol
_atom_site_fract_x
_atom_site_fract_y
_atom_site_fract_z
Pm1 Pm 0.000 0.250 0.125
Ti1 Ti 0.000 0.000 0.000
Ti2 Ti 0.000 0.250 0.375
H1 H 0.023 0.059 0.646
# Energy (eV per atom): -5.047



3.
# Pm6Tl2H PBE-GGA relaxed
data_Pm6Tl2H
_chemical_formula_sum 'Pm12 Tl4 H2'
_cell_length_a 6.632
_cell_length_b 9.358
_cell_length_c 9.830
_cell_angle_alpha 90.00
_cell_angle_beta 122.02
_cell_angle_gamma 90.00
_symmetry_space_group_name_H-M 'P 1 21/c 1'
_symmetry_Int_Tables_number 14
loop_
_symmetry_equiv_pos_as_xyz
'x,y,z'
'-x,-y,-z'
'-x,y+1/2,-z+1/2'
'x,-y+1/2,z+1/2'
loop_
_atom_site_label
_atom_site_type_symbol
_atom_site_fract_x
_atom_site_fract_y
_atom_site_fract_z
Pm1 Pm 0.125 0.138 0.484
Pm2 Pm 0.326 0.038 0.203
Pm3 Pm 0.331 0.736 0.444
Tl1 Tl 0.175 0.087 0.819
H1 H 0.500 0.000 0.500
# Energy (eV per atom): -4.281



4.
# Pm2TlH PBE-GGA relaxed
data_Pm2TlH
_chemical_formula_sum 'Pm8 Tl4 H4'
_cell_length_a 5.601
_cell_length_b 12.415
_cell_length_c 5.543
_cell_angle_alpha 90.00
_cell_angle_beta 90.00
_cell_angle_gamma 90.00
_symmetry_space_group_name_H-M 'C c c m'
_symmetry_Int_Tables_number 66
_symmetry_space_group_name_Hall '-C 2 2c'
loop_
_atom_site_label
_atom_site_type_symbol
_atom_site_fract_x
_atom_site_fract_y
_atom_site_fract_z
Pm1 Pm 0.250 0.098 0.000
Tl1 Tl 0.250 0.250 0.500
H1 H 0.000 0.000 0.250
# Offset from the most stable computed form (meV per atom): 0



5.
# Pm5Tl2H PBE-GGA relaxed
data_Pm5Tl2H
_chemical_formula_sum 'Pm10 Tl4 H2'
_cell_length_a 7.102
_cell_length_b 7.102
_cell_length_c 9.190
_cell_angle_alpha 90.00
_cell_angle_beta 90.00
_cell_angle_gamma 90.00
_symmetry_space_group_name_H-M 'I 4 m m'
_symmetry_Int_Tables_number 107
_symmetry_space_group_name_Hall 'I 4 -2'
loop_
_atom_site_label
_atom_site_type_symbol
_atom_site_fract_x
_atom_site_fract_y
_atom_site_fract_z
Pm1 Pm 0.000 0.000 0.000
Pm2 Pm 0.250 0.250 0.245
Tl1 Tl 0.000 0.500 0.497
H1 H 0.000 0.000 0.253
# Energy (eV per atom): -4.131



6.
# Pm4Tl2H PBE-GGA relaxed
data_Pm4Tl2H
_chemical_formula_sum 'Pm8 Tl4 H2'
_cell_length_a 6.391
_cell_length_b 6.861
_cell_length_c 9.336
_cell_angle_alpha 90.00
_cell_angle_beta 108.23
_cell_angle_gamma 90.00
_symmetry_space_group_name_H-M 'P 1 21/m 1'
_symmetry_Int_Tables_number 11
loop_
_symmetry_equiv_pos_as_xyz
'x,y,z'
'-x,-y,-z'
'-x,y+1/2,-z'
'x,-y+1/2,z'
loop_
_atom_site_label
_atom_site_type_symbol
_atom_site_fract_x
_atom_site_fract_y
_atom_site_fract_z
Pm1 Pm 0.181 0.250 0.069
Pm2 Pm 0.260 0.501 0.727
Pm3 Pm 0.284 0.750 0.369
Tl1 Tl 0.211 0.250 0.416
Tl2 Tl 0.347 0.750 0.041
H1 H 0.074 0.250 0.803
# Energy (eV per atom): -4.210



7.
# Pm4Tl3H PBE-GGA relaxed
data_Pm4Tl3H
_chemical_formula_sum 'Pm8 Tl6 H2'
_cell_length_a 10.340
_cell_length_b 6.271
_cell_length_c 6.725
_cell_angle_alpha 90.00
_cell_angle_beta 90.00
_cell_angle_gamma 90.00
_symmetry_space_group_name_H-M 'P m n 21'
_symmetry_Int_Tables_number 31
loop_
_symmetry_equiv_pos_as_xyz
'x,y,z'
'-x+1/2,-y,z+1/2'
'-x,y,z'
'x+1/2,-y,z+1/2'
loop_
_atom_site_label
_atom_site_type_symbol
_atom_site_fract_x
_atom_site_fract_y
_atom_site_fract_z
Pm1 Pm 0.000 0.104 0.000
Pm2 Pm 0.000 0.106 0.500
Pm3 Pm 0.187 0.641 0.750
Tl1 Tl 0.000 0.550 0.247
Tl2 Tl 0.230 0.850 0.251
H1 H 0.000 0.845 0.749
# Energy (eV per atom): -4.037



8.
# Pm12Tl3H5 PBE-GGA relaxed
data_Pm12Tl3H5
_chemical_formula_sum 'Pm96 Tl24 H40'
_cell_length_a 16.093
_cell_length_b 16.093
_cell_length_c 16.093
_cell_angle_alpha 90.00
_cell_angle_beta 90.00
_cell_angle_gamma 90.00
_symmetry_space_group_name_H-M 'I a -3 d'
_symmetry_Int_Tables_number 230
_symmetry_space_group_name_Hall '-I 4bd 2c 3'
loop_
_atom_site_label
_atom_site_type_symbol
_atom_site_fract_x
_atom_site_fract_y
_atom_site_fract_z
Pm1 Pm 0.042 0.055 0.650
Tl1 Tl 0.000 0.250 0.125
H1 H 0.000 0.000 0.000
H2 H 0.000 0.250 0.375
# Energy (eV per atom): -4.257



9.
# Pm2TlH PBE-GGA relaxed
data_Pm2TlH
_chemical_formula_sum 'Pm2 Tl1 H1'
_cell_length_a 3.463
_cell_length_b 3.463
_cell_length_c 7.684
_cell_angle_alpha 90.00
_cell_angle_beta 90.00
_cell_angle_gamma 90.00
_symmetry_space_group_name_H-M 'P 4/m m m'
_symmetry_Int_Tables_number 123
_symmetry_space_group_name_Hall '-P 4 2'
loop_
_atom_site_label
_atom_site_type_symbol
_atom_site_fract_x
_atom_site_fract_y
_atom_site_fract_z
Pm1 Pm 0.000 0.000 0.213
Tl1 Tl 0.500 0.500 0.500
H1 H 0.500 0.500 0.000
# Offset from the most stable computed form (meV per atom): 372



10.
# PmTlH2 PBE-GGA relaxed
data_PmTlH2
_chemical_formula_sum 'Pm3 Tl3 H6'
_cell_length_a 3.7935
_cell_length_b 3.7935
_cell_length_c 16.5579
_cell_angle_alpha 90.00
_cell_angle_beta 90.00
_cell_angle_gamma 120.00
_symmetry_space_group_name_H-M 'R -3 m'
_symmetry_Int_Tables_number 166
_symmetry_space_group_name_Hall '-R 3 2"'
loop_
_atom_site_label
_atom_site_type_symbol
_atom_site_fract_x
_atom_site_fract_y
_atom_site_fract_z
Pm1 Pm 0.0000 0.0000 0.0000
Tl1 Tl 0.0000 0.0000 0.5000
H1 H 0.0000 0.0000 0.2964
# Energy (eV per atom): -3.783



11.
# Pm6Tl3H2 PBE-GGA relaxed
data_Pm6Tl3H2
_chemical_formula_sum 'Pm12 Tl6 H4'
_cell_length_a 4.862
_cell_length_b 4.862
_cell_length_c 25.260
_cell_angle_alpha 90.00
_cell_angle_beta 90.00
_cell_angle_gamma 90.00
_symmetry_space_group_name_H-M 'I 4/m m m'
_symmetry_Int_Tables_number 139
_symmetry_space_group_name_Hall '-I 4 2'
loop_
_atom_site_label
_atom_site_type_symbol
_atom_site_fract_x
_atom_site_fract_y
_atom_site_fract_z
Pm1 Pm 0.000 0.000 0.199
Pm2 Pm 0.000 0.500 0.085
Tl1 Tl 0.000 0.000 0.326
Tl2 Tl 0.000 0.000 0.500
H1 H 0.000 0.000 0.103
# Energy (eV per atom): -4.142



12.
# Pm2TlH PBE-GGA relaxed
data_Pm2TlH
_chemical_formula_sum 'Pm8 Tl4 H4'
_cell_length_a 11.727
_cell_length_b 4.999
_cell_length_c 7.110
_cell_angle_alpha 90.00
_cell_angle_beta 115.40
_cell_angle_gamma 90.00
_symmetry_space_group_name_H-M 'C 1 2/m 1'
_symmetry_Int_Tables_number 12
loop_
_symmetry_equiv_pos_as_xyz
'x,y,z'
'-x,-y,-z'
'-x,y,-z'
'x,-y,z'
'x+1/2,y+1/2,z'
'-x+1/2,-y+1/2,-z'
'-x+1/2,y+1/2,-z'
'x+1/2,-y+1/2,z'
loop_
_atom_site_label
_atom_site_type_symbol
_atom_site_fract_x
_atom_site_fract_y
_atom_site_fract_z
Pm1 Pm 0.053 0.000 0.284
Pm2 Pm 0.177 0.500 0.072
Tl1 Tl 0.142 0.500 0.591
H1 H 0.134 0.000 0.015
# Offset from the most stable computed form (meV per atom): 95



13.
# Pm12Tl5H2 PBE-GGA relaxed
data_Pm12Tl5H2
_chemical_formula_sum 'Pm24 Tl10 H4'
_cell_length_a 13.101
_cell_length_b 9.644
_cell_length_c 9.425
_cell_angle_alpha 90.00
_cell_angle_beta 103.33
_cell_angle_gamma 90.00
_symmetry_space_group_name_H-M 'C 1 2/m 1'
_symmetry_Int_Tables_number 12
loop_
_symmetry_equiv_pos_as_xyz
'x,y,z'
'-x,-y,-z'
'-x,y,-z'
'x,-y,z'
'x+1/2,y+1/2,z'
'-x+1/2,-y+1/2,-z'
'-x+1/2,y+1/2,-z'
'x+1/2,-y+1/2,z'
loop_
_atom_site_label
_atom_site_type_symbol
_atom_site_fract_x
_atom_site_fract_y
_atom_site_fract_z
Pm1 Pm 0.003 0.000 0.242
Pm2 Pm 0.053 0.500 0.338
Pm3 Pm 0.140 0.206 0.573
Pm4 Pm 0.141 0.213 0.073
Tl1 Tl 0.000 0.500 0.000
Tl2 Tl 0.244 0.000 0.849
Tl3 Tl 0.245 0.500 0.648
H1 H 0.000 0.355 0.500
# Energy (eV per atom): -4.139



14.
# Pm2TlH PBE-GGA relaxed
data_Pm2TlH
_chemical_formula_sum 'Pm6 Tl3 H3'
_cell_length_a 3.7001
_cell_length_b 3.7001
_cell_length_c 24.0947
_cell_angle_alpha 90.00
_cell_angle_beta 90.00
_cell_angle_gamma 120.00
_symmetry_space_group_name_H-M 'R -3 m'
_symmetry_Int_Tables_number 166
_symmetry_space_group_name_Hall '-R 3 2"'
loop_
_atom_site_label
_atom_site_type_symbol
_atom_site_fract_x
_atom_site_fract_y
_atom_site_fract_z
Pm1 Pm 0.0000 0.0000 0.2255
Tl1 Tl 0.0000 0.0000 0.0000
H1 H 0.0000 0.0000 0.5000
# Offset from the most stable computed form (meV per atom): 133



15.
# Pm3Tl2H2 PBE-GGA relaxed
data_Pm3Tl2H2
_chemical_formula_sum 'Pm6 Tl4 H4'
_cell_length_a 10.610
_cell_length_b 4.756
_cell_length_c 6.675
_cell_angle_alpha 90.00
_cell_angle_beta 106.93
_cell_angle_gamma 90.00
_symmetry_space_group_name_H-M 'C 1 2/m 1'
_symmetry_Int_Tables_number 12
loop_
_symmetry_equiv_pos_as_xyz
'x,y,z'
'-x,-y,-z'
'-x,y,-z'
'x,-y,z'
'x+1/2,y+1/2,z'
'-x+1/2,-y+1/2,-z'
'-x+1/2,y+1/2,-z'
'x+1/2,-y+1/2,z'
loop_
_atom_site_label
_atom_site_type_symbol
_atom_site_fract_x
_atom_site_fract_y
_atom_site_fract_z
Pm1 Pm 0.000 0.000 0.000
Pm2 Pm 0.161 0.500 0.352
Tl1 Tl 0.166 0.500 0.849
H1 H 0.125 0.000 0.378
# Energy (eV per atom): -3.949



16.
# Pm2TlH PBE-GGA relaxed
data_Pm2TlH
_chemical_formula_sum 'Pm4 Tl2 H2'
_cell_length_a 6.390
_cell_length_b 3.677
_cell_length_c 8.399
_cell_angle_alpha 90.00
_cell_angle_beta 104.85
_cell_angle_gamma 90.00
_symmetry_space_group_name_H-M 'C 1 m 1'
_symmetry_Int_Tables_number 8
loop_
_symmetry_equiv_pos_as_xyz
'x,y,z'
'x,-y,z'
'x+1/2,y+1/2,z'
'x+1/2,-y+1/2,z'
loop_
_atom_site_label
_atom_site_type_symbol
_atom_site_fract_x
_atom_site_fract_y
_atom_site_fract_z
Pm1 Pm 0.000 0.000 0.000
Pm2 Pm 0.214 0.000 0.652
Tl1 Tl 0.276 0.500 0.325
H1 H 0.108 0.500 0.827
# Offset from the most stable computed form (meV per atom): 153